#A
A relaxed structure of LiTcNiSb. Source: OQMD via LeMat-Bulk, functional PBE.

a b c (Å): 4.303 4.303 4.303
angles (deg): 60.00 60.00 60.00
Element x y z (fractional)
Tc 0.500 0.500 0.500
Li 0.250 0.250 0.250
Sb 0.000 0.000 0.000
Ni 0.750 0.750 0.750

#B
A relaxed structure of LiTcNiSb. Source: OQMD via LeMat-Bulk, functional PBE.

a b c (Å): 4.322 4.322 4.322
angles (deg): 60.00 60.00 60.00
Element x y z (fractional)
Tc 0.250 0.250 0.250
Sb 0.000 0.000 0.000
Ni 0.750 0.750 0.750
Li 0.500 0.500 0.500

Computed stability ranking, most favorable first: #B, #A

#A
A relaxed structure of LiTmNiSe3. Source: OQMD via LeMat-Bulk, functional PBE.

a b c (Å): 3.886 10.939 11.487
angles (deg): 90.00 90.00 90.00
Element x y z (fractional)
Se 0.250 0.703 0.331
Se 0.750 0.429 0.376
Se 0.750 0.600 0.072
Se 0.750 0.797 0.831
Se 0.250 0.071 0.876
Se 0.750 0.100 0.428
Se 0.750 0.297 0.669
Se 0.750 0.929 0.124
Se 0.250 0.400 0.928
Se 0.250 0.571 0.624
Se 0.250 0.203 0.169
Se 0.250 0.900 0.572
Li 0.750 0.715 0.528
Li 0.250 0.785 0.028
Li 0.250 0.285 0.472
Li 0.750 0.215 0.972
Ni 0.750 0.746 0.230
Ni 0.250 0.254 0.770
Ni 0.750 0.246 0.270
Ni 0.250 0.754 0.730
Tm 0.750 0.029 0.702
Tm 0.750 0.529 0.798
Tm 0.250 0.971 0.298
Tm 0.250 0.471 0.202

#B
A relaxed structure of LiTmNiSe3. Source: OQMD via LeMat-Bulk, functional PBE.

a b c (Å): 3.825 6.750 10.293
angles (deg): 90.00 90.00 73.54
Element x y z (fractional)
Se 0.358 0.285 0.585
Se 0.642 0.715 0.085
Se 0.358 0.285 0.915
Se 0.904 0.191 0.250
Se 0.096 0.809 0.750
Se 0.642 0.715 0.415
Li 0.229 0.541 0.250
Li 0.771 0.459 0.750
Tm 0.000 0.000 0.000
Tm 0.000 0.000 0.500
Ni 0.515 0.970 0.250
Ni 0.485 0.030 0.750

Computed stability ranking, most favorable first: #B, #A

#A
A relaxed structure of LiTaNiSn. Source: OQMD via LeMat-Bulk, functional PBE.

a b c (Å): 4.396 4.396 4.396
angles (deg): 60.00 60.00 60.00
Element x y z (fractional)
Sn 0.000 0.000 0.000
Ta 0.500 0.500 0.500
Ni 0.750 0.750 0.750
Li 0.250 0.250 0.250

#B
A relaxed structure of LiTaNiSn. Source: OQMD via LeMat-Bulk, functional PBE.

a b c (Å): 4.491 4.491 4.491
angles (deg): 60.00 60.00 60.00
Element x y z (fractional)
Sn 0.000 0.000 0.000
Li 0.500 0.500 0.500
Ni 0.750 0.750 0.750
Ta 0.250 0.250 0.250

Computed stability ranking, most favorable first: #A, #B